Below is a geometry-optimized BaNaAlMo2 structure, with properties calculated at the PBE-GGA level.

Lattice parameters (Å, degrees): 4.8506 4.8506 5.5151 90.00 90.00 90.00
Last column: nearest neighbours and their distance in Å.
Fractional positions:
Ba (0.0000, 0.0000, 0.0000)  4 Na 3.43, 8 Mo 3.67
Na (0.5000, 0.5000, 0.0000)  2 Al 2.76
Al (0.5000, 0.5000, 0.5000)  4 Mo 2.43
Mo (0.0000, 0.5000, 0.5000)  2 Al 2.43
Mo (0.5000, 0.0000, 0.5000)  2 Al 2.43

Computed properties:
Total moment (μB/f.u.): 0.002
Crystal system: tetragonal
Formation enthalpy at 0 K (eV per atom): 1.201